Entry 1:
The following is a GGA-PBEsol calculation of a relaxed structure of NbTePS2, from Alexandria.

Computed properties:
* uncorrected energy: -0.4196 Ry per atom
* space-group type: P4/mmm
* density: 4.75 g/cm3
* DOS at the Fermi energy: 4.43 states/eV/f.u.
* formation energy (no corrections): 0.363 eV per formula unit

```
NbTePS2
1.0
4.649 0.000 0.000
0.000 4.649 0.000
0.000 0.000 5.101
Nb Te S P
1 1 2 1
Direct
0.000 0.000 0.000
0.500 0.500 0.500
0.000 0.500 0.000
0.500 0.000 0.000
0.000 0.000 0.500
```

Entry 2:
The following is a GGA-PBEsol calculation of a relaxed structure of NbTlPS2, from Alexandria.

Computed properties:
* uncorrected energy: -0.4315 Ry per atom
* space-group type: P4/mmm
* density: 5.78 g/cm3
* DOS at the Fermi energy: 3.31 states/eV/f.u.
* formation energy (no corrections): -1.346 eV per formula unit

```
NbTlPS2
1.0
-1.900 -2.966 -3.251
2.860 -3.523 1.543
-3.421 -1.359 3.239
S Tl P Nb
2 1 1 1
Direct
0.000 0.500 0.000
0.500 0.000 0.000
0.500 0.500 0.500
0.000 0.000 0.500
0.000 0.000 0.000
```

Entry 3:
The following is a GGA-PBEsol calculation of a relaxed structure of YNbP2S, from Alexandria.

Computed properties:
* uncorrected energy: -0.5315 Ry per atom
* space-group type: P4/mmm
* density: 4.29 g/cm3
* DOS at the Fermi energy: 1.91 states/eV/f.u.
* formation energy (no corrections): -2.549 eV per formula unit

```
YNbP2S
1.0
4.680 0.000 0.000
0.000 4.776 0.000
0.000 0.000 4.776
S Y Nb P
1 1 1 2
Direct
0.500 0.000 0.000
0.500 0.500 0.500
0.000 0.000 0.000
0.000 0.000 0.500
0.000 0.500 0.000
```

Entry 4:
The following is a GGA-PBEsol calculation of a relaxed structure of NbZnP2S, from Alexandria.

Computed properties:
* uncorrected energy: -0.3929 Ry per atom
* space-group type: P4/mmm
* density: 3.85 g/cm3
* DOS at the Fermi energy: 4.48 states/eV/f.u.
* formation energy (no corrections): 1.643 eV per formula unit

```
NbZnP2S
1.0
4.681 0.000 0.000
0.000 4.823 0.000
0.000 0.000 4.823
Nb S P Zn
1 1 2 1
Direct
0.000 0.000 0.000
0.500 0.000 0.000
0.000 0.500 0.000
0.000 0.000 0.500
0.500 0.500 0.500
```

Entry 5:
The following is a GGA-PBEsol calculation of a relaxed structure of NbSbTe2P, from Alexandria.

Computed properties:
* uncorrected energy: -0.3524 Ry per atom
* space-group type: P4/mmm
* density: 6.52 g/cm3
* DOS at the Fermi energy: 3.01 states/eV/f.u.
* formation energy (no corrections): 4.246 eV per formula unit

```
NbSbTe2P
1.0
5.056 0.000 0.000
0.000 5.022 0.000
0.000 0.000 5.022
Te Sb P Nb
2 1 1 1
Direct
0.000 0.000 0.500
0.000 0.500 0.000
0.500 0.000 0.000
0.000 0.000 0.000
0.500 0.500 0.500
```

Entry 6:
The following is a GGA-PBEsol calculation of a relaxed structure of ScNbP2, from Alexandria.

Computed properties:
* uncorrected energy: -0.5910 Ry per atom
* space-group type: Fm-3m
* density: 5.35 g/cm3
* formation enthalpy at 0 K: -76.0 kJ/mol of atoms
* DOS at the Fermi energy: 4.69 states/eV/f.u.

```
ScNbP2
1.0
4.442 0.000 0.000
2.221 3.847 0.000
2.221 1.282 3.627
P Sc Nb
2 1 1
Direct
0.750 0.750 0.750
0.250 0.250 0.250
0.000 0.000 0.000
0.500 0.500 0.500
```